[1]
## BaTa2Cl (PBEsol)

Data for BaTa2Cl after structural relaxation.

Computed properties:
D(E_F): 1.29 states/eV/atom
Formation energy from raw total energies: 570.1 meV/atom
Total magnetization: 0.001 μB per atom
Offset from the most stable computed form: 572 meV per atom

a = 3.9389 Å, b = 3.9389 Å, c = 7.2515 Å
α = 90.00°, β = 90.00°, γ = 90.00°
With the nearest neighbours (Å) after each atom.
Fractional positions:
Cl (0.0000, 0.0000, 0.5000)  4 Ba 2.79
Ta (0.0000, 0.5000, 0.0000)  4 Ta 2.79
Ta (0.5000, 0.0000, 0.0000)  4 Ta 2.79
Ba (0.5000, 0.5000, 0.5000)  4 Cl 2.79

=====

[2]
## BaTaCl2 (PBEsol)

Data for BaTaCl2 after structural relaxation.

Computed properties:
D(E_F): 1.17 states/eV/atom
Formation energy from raw total energies: -316.9 meV/atom
Total magnetization: 0.002 μB per atom
Offset from the most stable computed form: 195 meV per atom

a = 5.4360 Å, b = 5.4360 Å, c = 8.4014 Å
α = 108.88°, β = 108.88°, γ = 90.00°
With the nearest neighbours (Å) after each atom.
Fractional positions:
Cl (0.0084, 0.3750, 0.2500)  2 Ta 2.40
Cl (0.2416, 0.8750, 0.2500)  2 Ta 2.40
Cl (0.1250, 0.9916, 0.7500)  2 Ta 2.40
Cl (0.6250, 0.7584, 0.7500)  2 Ta 2.40
Ba (0.7500, 0.2500, 0.5000)  4 Cl 3.11
Ba (0.5000, 0.5000, 0.0000)  4 Cl 3.11
Ta (0.0000, 0.0000, 0.0000)  4 Cl 2.40
Ta (0.2500, 0.7500, 0.5000)  4 Cl 2.40

=====

[3]
## BaTaCl2 (PBEsol)

Data for BaTaCl2 after structural relaxation.

Computed properties:
D(E_F): 0.84 states/eV/atom
Formation energy from raw total energies: -323.6 meV/atom
Total magnetization: 0.000 μB per atom
Offset from the most stable computed form: 188 meV per atom

a = 3.9593 Å, b = 3.2651 Å, c = 7.3938 Å
α = 102.76°, β = 105.53°, γ = 90.00°
With the nearest neighbours (Å) after each atom.
Fractional positions:
Ta (0.4407, 0.4407, 0.8813)  2 Cl 2.45
Ba (0.2055, 0.7055, 0.4110)  6 Cl 3.08-3.15, 2 Ba 3.27
Cl (0.0168, 0.0168, 0.0337)  4 Ta 2.77, 2 Cl 2.98, 2 Ba 3.08
Cl (0.8370, 0.3370, 0.6740)  2 Ta 2.45

=====

- What is the D(E_F) in the first record?
  1.29 states/eV/atom

=====

- D(E_F) of number 1 (BaTa2Cl)?
  1.29 states/eV/atom

=====

- The highest offset from the most stable computed form belongs to which entry?
  BaTa2Cl

=====

- Which value of D(E_F) does entry 2 give?
  1.17 states/eV/atom